Record 1
A relaxed structure of TeRhSeBr2. Source: Alexandria, functional PBE-GGA.

```
TeRhSeBr2
1.0
5.121 0.000 0.000
0.000 5.121 0.000
0.000 0.000 5.786
Te Rh Se Br
1 1 1 2
direct
0.000 0.000 0.000 Te
0.500 0.500 0.000 Rh
0.000 0.000 0.500 Se
0.000 0.500 0.500 Br
0.500 0.000 0.500 Br
```

**Energy relative to the lowest polymorph listed for this composition**: 606 meV per atom
**Total energy**: -2.64 eV per atom
**Formation energy (no corrections)**: 0.8276 eV per atom



Record 2
A relaxed structure of TeRhSeBr2. Source: Alexandria, functional PBE-GGA.

```
TeRhSeBr2
1.0
5.001 0.000 0.000
0.000 5.001 0.000
0.000 0.000 4.986
Te Rh Se Br
1 1 1 2
direct
0.000 0.000 0.000 Te
0.500 0.500 0.500 Rh
0.500 0.500 0.000 Se
0.000 0.500 0.500 Br
0.500 0.000 0.500 Br
```

**Energy relative to the lowest polymorph listed for this composition**: 0 meV per atom
**Total energy**: -3.24 eV per atom
**Formation energy (no corrections)**: 0.2220 eV per atom



Record 3
A relaxed structure of TiRhSe2Br. Source: Alexandria, functional PBE-GGA.

```
TiRhSe2Br
1.0
5.176 0.000 0.000
0.000 5.176 0.000
0.000 0.000 4.553
Ti Rh Se Br
1 1 2 1
direct
0.000 0.000 0.000 Ti
0.500 0.500 0.000 Rh
0.000 0.500 0.500 Se
0.500 0.000 0.500 Se
0.500 0.500 0.500 Br
```

**Energy relative to the lowest polymorph listed for this composition**: 895 meV per atom
**Total energy**: -3.71 eV per atom
**Formation energy (no corrections)**: 1.0670 eV per atom



Record 4
A relaxed structure of TiRhSe2Br. Source: Alexandria, functional PBE-GGA.

```
TiRhSe2Br
1.0
4.900 0.000 0.000
0.000 4.900 0.000
0.000 0.000 5.060
Ti Rh Se Br
1 1 2 1
direct
0.000 0.000 0.000 Ti
0.500 0.500 0.500 Rh
0.000 0.500 0.000 Se
0.500 0.000 0.000 Se
0.000 0.000 0.500 Br
```

**Energy relative to the lowest polymorph listed for this composition**: 0 meV per atom
**Total energy**: -4.61 eV per atom
**Formation energy (no corrections)**: 0.1715 eV per atom



Record 5
A relaxed structure of TlRhSe2Br. Source: Alexandria, functional PBE-GGA.

```
TlRhSe2Br
1.0
4.918 0.000 0.000
0.000 4.918 0.000
0.000 0.000 5.433
Tl Rh Se Br
1 1 2 1
direct
0.000 0.000 0.000 Tl
0.500 0.500 0.500 Rh
0.000 0.500 0.500 Se
0.500 0.000 0.500 Se
0.500 0.500 0.000 Br
```

**Energy relative to the lowest polymorph listed for this composition**: 0 meV per atom
**Total energy**: -3.74 eV per atom
**Formation energy (no corrections)**: -0.0696 eV per atom



Record 6
A relaxed structure of TlRhSeBr2. Source: Alexandria, functional PBE-GGA.

```
TlRhSeBr2
1.0
5.402 0.000 0.000
0.000 5.402 0.000
0.000 0.000 4.715
Tl Rh Se Br
1 1 1 2
direct
0.000 0.000 0.000 Tl
0.500 0.500 0.500 Rh
0.500 0.500 0.000 Se
0.000 0.500 0.500 Br
0.500 0.000 0.500 Br
```

**Energy relative to the lowest polymorph listed for this composition**: 0 meV per atom
**Total energy**: -3.57 eV per atom
**Formation energy (no corrections)**: -0.2586 eV per atom